Record 1
Compound: RbAgCl3
Source: Alexandria via LeMat-Bulk
Functional: PBE
Structure: optimized geometry

Computed properties:
Its spin magnetization is 0.00 Bohr magnetons per cell. The formation energy (no corrections) is -887 meV per atom. For the volume, the calculation gives 42.9 Å³ per atom. Its space group is No. 63. The value obtained for the density of states at the Fermi level is 0.7309 states/eV per atom. For the total energy, the calculation gives -13.79 eV/f.u.

The structure in CIF format:
```
data_RbAgCl3
_cell_length_a 10.655
_cell_length_b 10.655
_cell_length_c 6.043
_cell_angle_alpha 90.00
_cell_angle_beta 90.00
_cell_angle_gamma 141.33
_symmetry_space_group_name_H-M 'P 1'
_symmetry_Int_Tables_number 1
loop_
_symmetry_equiv_pos_as_xyz
'x,y,z'
loop_
_atom_site_label
_atom_site_fract_x
_atom_site_fract_y
_atom_site_fract_z
_atom_site_occupancy
Rb1 0.315 0.685 0.250 1
Rb2 0.685 0.315 0.750 1
Ag1 0.099 0.901 0.250 1
Ag2 0.901 0.099 0.750 1
Cl1 0.445 0.090 0.250 1
Cl2 0.910 0.555 0.250 1
Cl3 0.090 0.445 0.750 1
Cl4 0.555 0.910 0.750 1
Cl5 0.000 0.000 0.000 1
Cl6 0.000 0.000 0.500 1
```



Record 2
Compound: K2Li3HfH12
Source: Alexandria via LeMat-Bulk
Functional: PBE
Structure: optimized geometry

Computed properties:
Its spin magnetization is 0.00 Bohr magnetons per cell. For the volume, the calculation gives 10.3 Å³ per atom. Its space group is No. 166. The value obtained for the density of states at the Fermi level is 0.2640 states/eV per atom. For the total energy, the calculation gives -58.58 eV/f.u.

The structure in CIF format:
```
data_K2Li3HfH12
_cell_length_a 6.171
_cell_length_b 6.171
_cell_length_c 6.171
_cell_angle_alpha 65.27
_cell_angle_beta 65.27
_cell_angle_gamma 65.27
_symmetry_space_group_name_H-M 'P 1'
_symmetry_Int_Tables_number 1
loop_
_symmetry_equiv_pos_as_xyz
'x,y,z'
loop_
_atom_site_label
_atom_site_fract_x
_atom_site_fract_y
_atom_site_fract_z
_atom_site_occupancy
K1 0.607 0.607 0.607 1
K2 0.393 0.393 0.393 1
Li1 0.500 0.000 0.000 1
Li2 0.000 0.500 0.000 1
Li3 0.000 0.000 0.500 1
Hf1 0.000 0.000 0.000 1
H1 0.230 0.230 0.881 1
H2 0.876 0.876 0.366 1
H3 0.366 0.876 0.876 1
H4 0.881 0.230 0.230 1
H5 0.876 0.366 0.876 1
H6 0.230 0.881 0.230 1
H7 0.770 0.770 0.119 1
H8 0.124 0.124 0.634 1
H9 0.634 0.124 0.124 1
H10 0.119 0.770 0.770 1
H11 0.124 0.634 0.124 1
H12 0.770 0.119 0.770 1
```



Record 3
Compound: TbSc5As4
Source: Alexandria via LeMat-Bulk
Functional: PBE
Structure: optimized geometry

Computed properties:
Its spin magnetization is 0.00 Bohr magnetons per cell. The calculation puts the energy relative to the elements at -1.014 eV per atom. For the volume, the calculation gives 24.1 Å³ per atom. Its space group is No. 12. The value obtained for the density of states at the Fermi level is 0.5194 states/eV per atom. For the total energy, the calculation gives -65.02 eV/f.u.

The structure in CIF format:
```
data_TbSc5As4
_cell_length_a 3.903
_cell_length_b 7.650
_cell_length_c 8.628
_cell_angle_alpha 106.00
_cell_angle_beta 103.07
_cell_angle_gamma 90.00
_symmetry_space_group_name_H-M 'P 1'
_symmetry_Int_Tables_number 1
loop_
_symmetry_equiv_pos_as_xyz
'x,y,z'
loop_
_atom_site_label
_atom_site_fract_x
_atom_site_fract_y
_atom_site_fract_z
_atom_site_occupancy
Tb1 0.500 0.000 0.000 1
Sc1 0.827 0.653 0.654 1
Sc2 0.838 0.154 0.677 1
Sc3 0.162 0.846 0.323 1
Sc4 0.500 0.500 0.000 1
Sc5 0.173 0.347 0.346 1
As1 0.324 0.896 0.648 1
As2 0.994 0.730 0.987 1
As3 0.676 0.104 0.352 1
As4 0.006 0.270 0.013 1
```



Record 4
Compound: Re2SeBr
Source: Alexandria via LeMat-Bulk
Functional: PBE
Structure: optimized geometry

Computed properties:
Its spin magnetization is 0.00 Bohr magnetons per cell. The formation energy (no corrections) is 1000 meV per atom. For the volume, the calculation gives 19.3 Å³ per atom. Its space group is No. 47. The value obtained for the density of states at the Fermi level is 1.1162 states/eV per atom. For the total energy, the calculation gives -26.05 eV/f.u.

The structure in CIF format:
```
data_Re2SeBr
_cell_length_a 3.836
_cell_length_b 3.112
_cell_length_c 6.471
_cell_angle_alpha 89.98
_cell_angle_beta 90.00
_cell_angle_gamma 90.00
_symmetry_space_group_name_H-M 'P 1'
_symmetry_Int_Tables_number 1
loop_
_symmetry_equiv_pos_as_xyz
'x,y,z'
loop_
_atom_site_label
_atom_site_fract_x
_atom_site_fract_y
_atom_site_fract_z
_atom_site_occupancy
Br1 0.500 0.750 0.750 1
Re1 0.000 0.750 0.072 1
Re2 0.000 0.750 0.428 1
Se1 0.500 0.250 0.250 1
```